[1]
VASP calculation (PBE-GGA) on an optimized crystal structure of CrS2.

a b c (Å): 3.3335 3.3335 5.5625
angles (deg): 90.00 90.00 120.00
With the nearest neighbours (Å) after each atom.
Element x y z (fractional)
Cr1 0.0000 0.0000 0.0000  6 S 2.35
S1 0.3333 0.6667 0.2429  3 Cr 2.35
S2 0.6667 0.3333 0.7571  3 Cr 2.35

## Properties
Uncorrected formation energy (meV/atom): -540.2


[2]
VASP calculation (PBE-GGA) on an optimized crystal structure of Y2WAu.

a b c (Å): 3.2040 4.7164 6.1164
angles (deg): 90.00 90.00 90.00
With the nearest neighbours (Å) after each atom.
Element x y z (fractional)
Y1 0.0000 0.0000 0.0000  2 Au 2.94-3.18, 4 W 3.01, 2 Y 3.20
Y2 0.5000 0.5000 0.3501  2 W 3.02-3.09, 4 Au 3.03, 2 Y 3.20
W1 0.5000 0.5000 0.8445  6 Y 3.01-3.09, 2 W 3.20
Au1 0.0000 0.0000 0.5196  6 Y 2.94-3.18, 2 Au 3.20

## Properties
Calculated formation energy (eV per atom): 0.2449
Energy relative to the lowest polymorph listed for this composition (kJ/mol of formula units): 109


[3]
VASP calculation (PBE-GGA) on an optimized crystal structure of Y3Al2Cd4.

a b c (Å): 5.9823 5.9823 9.0353
angles (deg): 114.46 114.46 47.42
With the nearest neighbours (Å) after each atom.
Element x y z (fractional)
Y1 0.0000 0.0000 0.0000  8 Cd 3.18-3.44, 4 Al 3.28, 2 Y 3.53
Y2 0.3346 0.3346 0.3305  8 Cd 3.19-3.40, 4 Al 3.25-3.32, 2 Y 3.53
Y3 0.6654 0.6654 0.6695  8 Cd 3.19-3.40, 4 Al 3.25-3.32, 2 Y 3.53
Al1 0.3914 0.3914 0.7240  3 Cd 2.75-2.77
Al2 0.6086 0.6086 0.2760  3 Cd 2.75-2.77
Cd1 0.0747 0.0747 0.4038  2 Al 2.77, 1 Cd 2.88
Cd2 0.2967 0.2967 0.9586  1 Al 2.75, 2 Cd 2.84
Cd3 0.7033 0.7033 0.0414  1 Al 2.75, 2 Cd 2.84
Cd4 0.9253 0.9253 0.5962  2 Al 2.77, 1 Cd 2.88

## Properties
Calculated formation energy (eV per atom): -0.3759


[4]
VASP calculation (PBE-GGA) on an optimized crystal structure of BiBPb2Au.

a b c (Å): 5.0733 5.0733 4.9581
angles (deg): 90.00 90.00 90.00
With the nearest neighbours (Å) after each atom.
Element x y z (fractional)
Bi1 0.0000 0.0000 0.0000  2 B 2.48
B1 0.0000 0.0000 0.5000  2 Bi 2.48, 4 Pb 2.54
Pb1 0.0000 0.5000 0.5000  2 B 2.54
Pb2 0.5000 0.0000 0.5000  2 B 2.54
Au1 0.5000 0.5000 0.0000  8 Pb 3.55, 4 Bi 3.59

## Properties
Calculated formation energy (eV per atom): 0.6713


[5]
VASP calculation (PBE-GGA) on an optimized crystal structure of Pr2ErTe5Au.

a b c (Å): 9.8128 9.8128 13.2483
angles (deg): 90.00 90.00 154.28
With the nearest neighbours (Å) after each atom.
Element x y z (fractional)
Pr1 0.1134 0.8866 0.5000  8 Te 3.30-3.38
Pr2 0.1247 0.8753 0.1191  8 Te 3.25-3.47
Pr3 0.8753 0.1247 0.6191  8 Te 3.25-3.47
Pr4 0.8866 0.1134 0.0000  8 Te 3.30-3.38
Er1 0.1885 0.8115 0.8208  6 Te 2.97-3.13, 2 Au 3.16
Er2 0.8115 0.1885 0.3208  6 Te 2.97-3.13, 2 Au 3.16
Te1 0.0402 0.9598 0.8870  2 Au 2.74, 1 Er 2.97
Te2 0.2877 0.7123 0.4803  2 Er 3.07, 3 Pr 3.31-3.35
Te3 0.3046 0.6954 0.1521  1 Au 2.82, 2 Er 3.13
Te4 0.3521 0.6479 0.8118  1 Er 3.13, 4 Pr 3.38-3.39
Te5 0.5004 0.4996 0.0919  1 Au 2.78
Te6 0.4996 0.5004 0.5919  1 Au 2.78
Te7 0.6479 0.3521 0.3118  1 Er 3.13, 4 Pr 3.38-3.39
Te8 0.6954 0.3046 0.6521  1 Au 2.82, 2 Er 3.13
Te9 0.7123 0.2877 0.9803  2 Er 3.07, 3 Pr 3.31-3.35
Te10 0.9598 0.0402 0.3870  2 Au 2.74, 1 Er 2.97
Au1 0.4261 0.5739 0.2721  4 Te 2.74-2.82
Au2 0.5739 0.4261 0.7721  4 Te 2.74-2.82

## Properties
Uncorrected formation energy (meV/atom): -1199.2


[6]
VASP calculation (PBE-GGA) on an optimized crystal structure of Ce2YSi2.

a b c (Å): 7.5393 7.5393 4.3111
angles (deg): 90.00 90.00 90.00
With the nearest neighbours (Å) after each atom.
Element x y z (fractional)
Ce1 0.1779 0.3221 0.0000  6 Si 3.08-3.12
Ce2 0.3221 0.8221 0.0000  6 Si 3.08-3.12
Ce3 0.6779 0.1779 0.0000  6 Si 3.08-3.12
Ce4 0.8221 0.6779 0.0000  6 Si 3.08-3.12
Y1 0.0000 0.0000 0.5000  4 Si 3.03
Y2 0.5000 0.5000 0.5000  4 Si 3.03
Si1 0.1156 0.6156 0.5000  1 Si 2.46
Si2 0.3844 0.1156 0.5000  1 Si 2.46
Si3 0.6156 0.8844 0.5000  1 Si 2.46
Si4 0.8844 0.3844 0.5000  1 Si 2.46

## Properties
Uncorrected formation energy (meV/atom): -618.3
Energy relative to the lowest polymorph listed for this composition (kJ/mol of formula units): 0